Entry 1:
# CrMoAsBr2

A relaxed CrMoAsBr2 crystal (GGA-PBE, Alexandria).

Cell and atoms, written as extended XYZ:
```
5
Lattice="5.062 0.000 0.000 0.000 5.062 0.000 0.000 0.000 4.888" Properties=species:S:1:pos:R:3 pbc="T T T"
Cr 0.000 0.000 0.000
Mo 2.531 2.531 2.444
As 0.000 0.000 2.444
Br 0.000 2.531 0.000
Br 2.531 0.000 0.000
```

Computed properties:
- N(E_F) (states/eV/cell) = 2.6
- crystal system = tetragonal
- symmetry = P4/mmm, No. 123
- electronic total energy (eV/atom) = -4.95
- energy above the most stable polymorph in this dataset (meV/atom) = 0.0

=====

Entry 2:
# CrAs2BrN

A relaxed CrAs2BrN crystal (GGA-PBE, Alexandria).

Cell and atoms, written as extended XYZ:
```
5
Lattice="4.421 0.000 0.000 0.000 4.421 0.000 0.000 0.000 4.441" Properties=species:S:1:pos:R:3 pbc="T T T"
Cr 0.000 0.000 0.000
As 0.000 2.211 2.221
As 2.211 0.000 2.221
Br 2.211 2.211 0.000
N 2.211 2.211 2.221
```

Computed properties:
- N(E_F) (states/eV/cell) = 2.7
- crystal system = tetragonal
- symmetry = P4/mmm, No. 123
- electronic total energy (eV/atom) = -4.78
- energy above the most stable polymorph in this dataset (meV/atom) = 0.0

=====

Entry 3:
# CrAs2BrN

A relaxed CrAs2BrN crystal (GGA-PBE, Alexandria).

Cell and atoms, written as extended XYZ:
```
5
Lattice="4.610 0.000 0.000 0.000 4.610 0.000 0.000 0.000 5.351" Properties=species:S:1:pos:R:3 pbc="T T T"
Cr 0.000 0.000 0.000
As 0.000 2.305 0.000
As 2.305 0.000 0.000
Br 0.000 0.000 2.676
N 2.305 2.305 2.676
```

Computed properties:
- N(E_F) (states/eV/cell) = 2.8
- crystal system = tetragonal
- symmetry = P4/mmm, No. 123
- electronic total energy (eV/atom) = -4.56
- energy above the most stable polymorph in this dataset (meV/atom) = 214.6

=====

Entry 4:
# NbCrAs2Br

A relaxed NbCrAs2Br crystal (GGA-PBE, Alexandria).

Cell and atoms, written as extended XYZ:
```
5
Lattice="5.004 0.000 0.000 0.000 5.004 0.000 0.000 0.000 5.264" Properties=species:S:1:pos:R:3 pbc="T T T"
Nb 0.000 0.000 0.000
Cr 2.502 2.502 2.632
As 0.000 2.502 0.000
As 2.502 0.000 0.000
Br 0.000 0.000 2.632
```

Computed properties:
- N(E_F) (states/eV/cell) = 3.9
- crystal system = tetragonal
- symmetry = P4/mmm, No. 123
- electronic total energy (eV/atom) = -5.66
- energy above the most stable polymorph in this dataset (meV/atom) = 0.0

=====

Entry 5:
# NbCrAs2Br

A relaxed NbCrAs2Br crystal (GGA-PBE, Alexandria).

Cell and atoms, written as extended XYZ:
```
5
Lattice="4.676 0.000 0.000 0.000 4.676 0.000 0.000 0.000 5.043" Properties=species:S:1:pos:R:3 pbc="T T T"
Nb 0.000 0.000 0.000
Cr 2.338 2.338 2.522
As 0.000 2.338 2.522
As 2.338 0.000 2.522
Br 2.338 2.338 0.000
```

Computed properties:
- N(E_F) (states/eV/cell) = 4.1
- crystal system = tetragonal
- symmetry = P4/mmm, No. 123
- electronic total energy (eV/atom) = -5.47
- energy above the most stable polymorph in this dataset (meV/atom) = 191.2

=====

Entry 6:
# CrNiAs2Br

A relaxed CrNiAs2Br crystal (GGA-PBE, Alexandria).

Cell and atoms, written as extended XYZ:
```
5
Lattice="4.569 0.000 0.000 0.000 4.569 0.000 0.000 0.000 4.875" Properties=species:S:1:pos:R:3 pbc="T T T"
Cr 0.000 0.000 0.000
Ni 2.284 2.284 2.438
As 0.000 2.284 2.438
As 2.284 0.000 2.438
Br 2.284 2.284 0.000
```

Computed properties:
- N(E_F) (states/eV/cell) = 5.3
- crystal system = tetragonal
- symmetry = P4/mmm, No. 123
- electronic total energy (eV/atom) = -4.29
- energy above the most stable polymorph in this dataset (meV/atom) = 250.9

=====

Entry 7:
# CrNiAs2Br

A relaxed CrNiAs2Br crystal (GGA-PBE, Alexandria).

Cell and atoms, written as extended XYZ:
```
5
Lattice="4.585 0.000 0.000 0.000 4.585 0.000 0.000 0.000 5.247" Properties=species:S:1:pos:R:3 pbc="T T T"
Cr 0.000 0.000 0.000
Ni 2.292 2.292 2.623
As 0.000 2.292 0.000
As 2.292 0.000 0.000
Br 0.000 0.000 2.623
```

Computed properties:
- N(E_F) (states/eV/cell) = 7.8
- crystal system = tetragonal
- symmetry = P4/mmm, No. 123
- electronic total energy (eV/atom) = -4.54
- energy above the most stable polymorph in this dataset (meV/atom) = 0.0